No. 1
Nd8Co3PdCl4 | PBE-GGA | optimized geometry

Unit cell a=13.9425 b=8.0485 c=8.8501 alpha=90.00 beta=121.68 gamma=90.00
Space group C2/m (No. 12)
Inequivalent atoms, fractional coordinates:
1 Nd 0.0186 0.2389 0.2968 [8 per cell]
2 Nd 0.2340 0.0000 0.7017 [4 per cell]
3 Nd 0.2426 0.5000 0.7020 [4 per cell]
4 Co 0.0000 0.0000 0.5000 [2 per cell]
5 Co 0.2500 0.2500 0.5000 [4 per cell]
6 Pd 0.0000 0.5000 0.5000 [2 per cell]
7 Cl 0.0000 0.0000 0.0000 [2 per cell]
8 Cl 0.0000 0.5000 0.0000 [2 per cell]
9 Cl 0.2500 0.2500 0.0000 [4 per cell]

V ... 26.4 Å³ per atom
Formation energy without anion corrections ... -0.92 eV/atom
Uncorrected energy ... -5.425 eV/atom
Total magnetic moment ... 0.0 μB/f.u.

No. 2
CsBaB2Cl8 | PBE-GGA | optimized geometry

Unit cell a=6.5359 b=6.5359 c=29.5693 alpha=90.00 beta=90.00 gamma=120.00
Space group R-3 (No. 148, hexagonal axes)
Inequivalent atoms, fractional coordinates:
1 Cs 0.0000 0.0000 0.0000 [3 per cell]
2 Ba 0.0000 0.0000 0.5000 [3 per cell]
3 B 0.0000 0.0000 0.2517 [6 per cell]
4 Cl 0.0000 0.0000 0.3144 [6 per cell]
5 Cl 0.0420 0.2912 0.7699 [18 per cell]

V ... 30.4 Å³ per atom
Formation energy without anion corrections ... -1.24 eV/atom
Uncorrected energy ... -3.818 eV/atom
Total magnetic moment ... 1.0 μB/f.u.

No. 3
Mg2Sc2Ni3 | PBE-GGA | optimized geometry

Unit cell a=7.6874 b=4.4568 c=7.3566 alpha=90.00 beta=110.42 gamma=90.00
Space group C2/m (No. 12)
Inequivalent atoms, fractional coordinates:
1 Mg 0.1312 0.0000 0.3924 [4 per cell]
2 Sc 0.1164 0.5000 0.8502 [4 per cell]
3 Ni 0.0000 0.0000 0.0000 [2 per cell]
4 Ni 0.2408 0.5000 0.2224 [4 per cell]

V ... 16.9 Å³ per atom
Calculated formation energy ... -2.3 eV per formula unit
Uncorrected energy ... -5.072 eV/atom
Total magnetic moment ... 0.0 μB/f.u.

Among the records above, which one has the lowest uncorrected energy?
Nd8Co3PdCl4

Which of these has the highest uncorrected energy?
CsBaB2Cl8

The highest uncorrected energy belongs to which entry?
CsBaB2Cl8